# CuTe2As GGA-PBEsol relaxed
data_CuTe2As
_chemical_formula_sum 'Cu1 Te2 As1'
_symmetry_space_group_name_H-M 'P 1'
_symmetry_Int_Tables_number 1
_symmetry_space_group_name_Hall 'P 1'
_cell_length_a 3.7821
_cell_length_b 3.9462
_cell_length_c 6.2683
_cell_angle_alpha 90.00
_cell_angle_beta 90.00
_cell_angle_gamma 90.00
loop_
_atom_site_label
_atom_site_fract_x
_atom_site_fract_y
_atom_site_fract_z
Cu1 0.0000 0.0000 0.0000
Te1 0.5000 0.0000 0.5000
Te2 0.5000 0.5000 0.0000
As1 0.0000 0.5000 0.5000
# VASP energy (eV per atom): -3.697
# Crystal system: orthorhombic
# Symmetry: Pmmm (47)